An optimized crystal structure of MnBIO2. Source: the Alexandria database, functional GGA+U.

The structure in CIF format:
```
data_MnBIO2
_space_group_name_H-M_alt 'P 1'
_space_group_IT_number 1
_space_group_name_Hall 'P 1'
_cell_length_a 3.730
_cell_length_b 3.730
_cell_length_c 4.861
_cell_angle_alpha 90.00
_cell_angle_beta 90.00
_cell_angle_gamma 90.00
loop_
_atom_site_label
_atom_site_fract_x
_atom_site_fract_y
_atom_site_fract_z
_atom_site_occupancy
Mn1 0.000 0.000 0.000 1
B1 0.500 0.500 0.500 1
I1 0.500 0.500 0.000 1
O1 0.000 0.500 0.500 1
O2 0.500 0.000 0.500 1
```

Properties
Its energy above the most stable polymorph in this dataset is 58 meV/atom.